(1)
# TeF6

A PBEsol-optimized structure of TeF6 (SCAN, the Alexandria database).

The magnetization comes out at 0.0237 μB per atom. As for the total energy: -10.45 eV/atom. For the uncorrected formation energy, the calculation gives -2093 meV per atom. The density of states at the Fermi level is 0.00 states/eV/f.u.

The structure belongs to space group R-3 (No. 148, hexagonal axes); the cell edges are 5.1842, 5.1842 and 14.2026 Å and the angles 90.00°, 90.00° and 120.00°. The asymmetric unit holds Te at (0.0000, 0.0000, 0.0000) and F at (0.0024, 0.7096, 0.0754).


(2)
# Ni2OsPb

A PBEsol-optimized structure of Ni2OsPb (SCAN, the Alexandria database).

The magnetization comes out at 0.0015 μB per atom. As for the total energy: -44.28 eV/atom. The formation energy from the elements comes out at 2.88 eV/f.u. The density of states at the Fermi level is 4.85 states/eV/f.u.

The structure belongs to space group Fm-3m (No. 225); the cell edges are 6.082, 6.082 and 6.082 Å and the angles 90.00°, 90.00° and 90.00°. The asymmetric unit holds Ni at (0.250, 0.250, 0.250), Os at (0.000, 0.000, 0.000) and Pb at (0.000, 0.000, 0.500).


(3)
# MnZn3Re

A PBEsol-optimized structure of MnZn3Re (SCAN, the Alexandria database).

The magnetization comes out at 0.9322 μB per atom. As for the total energy: -25.00 eV/atom. The formation energy from the elements comes out at 4.92 eV/f.u. The density of states at the Fermi level is 2.16 states/eV/f.u.

The structure belongs to space group Pm-3m (No. 221); the cell edges are 4.708, 4.708 and 4.708 Å and the angles 90.00°, 90.00° and 90.00°. The asymmetric unit holds Mn at (0.000, 0.000, 0.000), Zn at (0.000, 0.500, 0.500) and Re at (0.500, 0.500, 0.500).


(4)
# La3BS

A PBEsol-optimized structure of La3BS (SCAN, the Alexandria database).

The magnetization comes out at 0.0000 μB per atom. As for the total energy: -29.41 eV/atom. For the uncorrected formation energy, the calculation gives -132 meV per atom. The density of states at the Fermi level is 2.85 states/eV/f.u.

The structure belongs to space group Pm-3m (No. 221); the cell edges are 5.322, 5.322 and 5.322 Å and the angles 90.00°, 90.00° and 90.00°. The asymmetric unit holds La at (0.000, 0.000, 0.500), B at (0.500, 0.500, 0.500) and S at (0.000, 0.000, 0.000).


(5)
# TlSbN2F

A PBEsol-optimized structure of TlSbN2F (SCAN, the Alexandria database).

The magnetization comes out at 0.0002 μB per atom. As for the total energy: -25.33 eV/atom. For the uncorrected formation energy, the calculation gives 1020 meV per atom. The density of states at the Fermi level is 1.28 states/eV/f.u.

The structure belongs to space group P4/mmm (No. 123); the cell edges are 4.255, 4.255 and 4.271 Å and the angles 90.00°, 90.00° and 90.00°. The asymmetric unit holds Tl at (0.000, 0.000, 0.000), Sb at (0.500, 0.500, 0.500), N at (0.000, 0.500, 0.000) and F at (0.000, 0.000, 0.500).


(6)
# MgSi3B

A PBEsol-optimized structure of MgSi3B (SCAN, the Alexandria database).

The magnetization comes out at 0.0003 μB per atom. As for the total energy: -7.74 eV/atom. For the uncorrected formation energy, the calculation gives 746 meV per atom. The density of states at the Fermi level is 2.25 states/eV/f.u.

The structure belongs to space group Pm-3m (No. 221); the cell edges are 4.196, 4.196 and 4.196 Å and the angles 90.00°, 90.00° and 90.00°. The asymmetric unit holds Mg at (0.000, 0.000, 0.000), Si at (0.000, 0.500, 0.500) and B at (0.500, 0.500, 0.500).


(7)
# IrSe2I

A PBEsol-optimized structure of IrSe2I (SCAN, the Alexandria database).

The magnetization comes out at 0.0000 μB per atom. As for the total energy: -37.22 eV/atom. For the uncorrected formation energy, the calculation gives -220 meV per atom. The density of states at the Fermi level is 0.20 states/eV/f.u.

The structure belongs to space group R-3m (No. 166, hexagonal axes); the cell edges are 3.8414, 3.8414 and 23.4392 Å and the angles 90.00°, 90.00° and 120.00°. The asymmetric unit holds Ir at (0.0000, 0.0000, 0.0000), Se at (0.0000, 0.0000, 0.3824) and I at (0.0000, 0.0000, 0.5000).


(8)
# SrZn2Ni

A PBEsol-optimized structure of SrZn2Ni (SCAN, the Alexandria database).

The magnetization comes out at 0.0000 μB per atom. As for the total energy: -16.62 eV/atom. The formation energy from the elements comes out at -1.00 eV/f.u. The density of states at the Fermi level is 2.09 states/eV/f.u.

The structure belongs to space group R3m (No. 160, hexagonal axes); the cell edges are 4.2133, 4.2133 and 15.8743 Å and the angles 90.00°, 90.00° and 120.00°. The asymmetric unit holds Sr at (0.0000, 0.0000, 0.0000), Zn at (0.0000, 0.0000, 0.5152), Zn at (0.0000, 0.0000, 0.8105) and Ni at (0.0000, 0.0000, 0.1870).


(9)
# CdCuNi2S

A PBEsol-optimized structure of CdCuNi2S (SCAN, the Alexandria database).

The magnetization comes out at 0.3765 μB per atom. As for the total energy: -16.59 eV/atom. For the uncorrected formation energy, the calculation gives 925 meV per atom. The density of states at the Fermi level is 3.57 states/eV/f.u.

The structure belongs to space group P4/mmm (No. 123); the cell edges are 4.288, 4.288 and 4.678 Å and the angles 90.00°, 90.00° and 90.00°. The asymmetric unit holds Cd at (0.000, 0.000, 0.000), Cu at (0.000, 0.000, 0.500), Ni at (0.000, 0.500, 0.500) and S at (0.500, 0.500, 0.000).


(10)
# CoH2Pd2

A PBEsol-optimized structure of CoH2Pd2 (SCAN, the Alexandria database).

The magnetization comes out at 0.4296 μB per atom. As for the total energy: -17.87 eV/atom. The density of states at the Fermi level is 2.22 states/eV/f.u.

The structure belongs to space group I4/mmm (No. 139); the cell edges are 2.856, 2.856 and 11.361 Å and the angles 90.00°, 90.00° and 90.00°. The asymmetric unit holds Co at (0.000, 0.000, 0.000), H at (0.000, 0.500, 0.250) and Pd at (0.000, 0.000, 0.354).


(11)
# LiTlRe

A PBEsol-optimized structure of LiTlRe (SCAN, the Alexandria database).

The magnetization comes out at 0.0000 μB per atom. As for the total energy: -48.03 eV/atom. The formation energy from the elements comes out at 1.74 eV/f.u. The density of states at the Fermi level is 0.98 states/eV/f.u.

The structure belongs to space group Fmm2 (No. 42); the cell edges are 3.275, 4.496 and 14.046 Å and the angles 90.00°, 90.00° and 90.00°. The asymmetric unit holds Li at (0.000, 0.000, 0.000), Tl at (0.000, 0.000, 0.326) and Re at (0.000, 0.000, 0.652).


(12)
# MnAlFeCo

A PBEsol-optimized structure of MnAlFeCo (SCAN, the Alexandria database).

The magnetization comes out at 0.7513 μB per atom. As for the total energy: -15.71 eV/atom. The formation energy from the elements comes out at -1.38 eV/f.u. The density of states at the Fermi level is 2.05 states/eV/f.u.

The structure belongs to space group F-43m (No. 216); the cell edges are 5.607, 5.607 and 5.607 Å and the angles 90.00°, 90.00° and 90.00°. The asymmetric unit holds Mn at (0.000, 0.000, 0.000), Al at (0.000, 0.000, 0.500), Fe at (0.250, 0.250, 0.750) and Co at (0.250, 0.250, 0.250).